Version w
Compound: La3PrY4
Source: Alexandria
Functional: PBE
Structure: relaxed

Crystal system: orthorhombic
Calculated volume (Å³ per cell): 278.6
Magnetic moment (Bohr magnetons per cell): 0.00
Mass density (Mg/m³): 5.44

Cell lengths 3.495, 9.127, 9.127 Å; angles 81.51, 78.96, 78.96 degrees
Sites, in units of the cell vectors:
Y (0.634, 0.616, 0.115)
Y (0.366, 0.384, 0.885)
Y (0.634, 0.115, 0.616)
Y (0.366, 0.885, 0.384)
La (0.000, 0.500, 0.500)
La (0.242, 0.758, 0.758)
La (0.758, 0.242, 0.242)
Pr (0.500, 0.000, 0.000)

Version x
Compound: La3PrY4
Source: Alexandria
Functional: PBE
Structure: relaxed

Crystal system: orthorhombic
Calculated volume (Å³ per cell): 556.4
Magnetic moment (Bohr magnetons per cell): 0.00
Mass density (Mg/m³): 5.45

Cell lengths 6.412, 7.385, 11.750 Å; angles 90.00, 90.00, 90.00 degrees
Sites, in units of the cell vectors:
La (0.977, 0.624, 0.250)
La (0.977, 0.624, 0.750)
La (0.152, 0.374, 0.500)
La (0.652, 0.626, 0.000)
La (0.477, 0.376, 0.250)
La (0.477, 0.376, 0.750)
Y (0.649, 0.122, 0.000)
Y (0.149, 0.878, 0.500)
Y (0.981, 0.121, 0.249)
Y (0.481, 0.879, 0.749)
Y (0.481, 0.879, 0.251)
Y (0.981, 0.121, 0.751)
Y (0.149, 0.878, 0.000)
Y (0.649, 0.122, 0.500)
Pr (0.650, 0.628, 0.500)
Pr (0.150, 0.372, 0.000)

Tell me which of them is the most stable. Sure, it is version x.

Version w
Compound: La12Pr5Y2
Source: Alexandria
Functional: PBE
Structure: relaxed

Crystal system: triclinic
Calculated volume (Å³ per cell): 690.5
Magnetic moment (Bohr magnetons per cell): 0.00
Mass density (Mg/m³): 6.13

Cell lengths 6.463, 9.731, 12.857 Å; angles 72.55, 66.83, 94.70 degrees
Sites, in units of the cell vectors:
La (0.338, 0.827, 0.371)
La (0.887, 0.052, 0.137)
La (0.662, 0.173, 0.629)
La (0.207, 0.592, 0.029)
La (0.788, 0.938, 0.453)
La (0.113, 0.948, 0.863)
La (0.242, 0.451, 0.404)
La (0.357, 0.336, 0.889)
La (0.758, 0.549, 0.596)
La (0.212, 0.062, 0.547)
La (0.643, 0.664, 0.111)
La (0.793, 0.408, 0.971)
Y (0.074, 0.308, 0.716)
Y (0.926, 0.692, 0.284)
Pr (0.296, 0.213, 0.223)
Pr (0.500, 0.000, 0.000)
Pr (0.249, 0.690, 0.693)
Pr (0.751, 0.310, 0.307)
Pr (0.704, 0.787, 0.777)

Version x
Compound: La12Pr5Y2
Source: Alexandria
Functional: PBE
Structure: relaxed

Crystal system: monoclinic
Calculated volume (Å³ per cell): 696.2
Magnetic moment (Bohr magnetons per cell): 0.00
Mass density (Mg/m³): 6.08

Cell lengths 7.622, 11.407, 10.323 Å; angles 57.64, 90.00, 109.52 degrees
Sites, in units of the cell vectors:
La (0.908, 0.317, 0.532)
La (0.068, 0.665, 0.836)
La (0.510, 0.019, 0.316)
La (0.932, 0.335, 0.164)
La (0.592, 0.683, 0.468)
La (0.008, 0.016, 0.202)
La (0.092, 0.683, 0.468)
La (0.403, 0.335, 0.164)
La (0.408, 0.317, 0.532)
La (0.597, 0.665, 0.836)
La (0.992, 0.984, 0.798)
La (0.490, 0.981, 0.684)
Y (0.297, 0.000, 0.000)
Y (0.703, 0.000, 0.000)
Pr (0.323, 0.646, 0.156)
Pr (0.000, 0.000, 0.500)
Pr (0.825, 0.651, 0.185)
Pr (0.677, 0.354, 0.844)
Pr (0.175, 0.349, 0.815)

Tell me which of them is the most stable. Sure, it is version w.

Version w
Compound: La2Pr3Y8
Source: Alexandria
Functional: PBE
Structure: relaxed

Crystal system: monoclinic
Calculated volume (Å³ per cell): 462.2
Magnetic moment (Bohr magnetons per cell): 0.00
Mass density (Mg/m³): 5.07

Cell lengths 5.717, 7.747, 11.131 Å; angles 110.36, 90.05, 90.00 degrees
Sites, in units of the cell vectors:
Y (0.999, 0.336, 0.671)
Y (0.001, 0.664, 0.329)
Y (0.500, 0.396, 0.213)
Y (0.500, 0.183, 0.787)
Y (0.000, 0.869, 0.739)
Y (0.500, 0.817, 0.213)
Y (0.000, 0.131, 0.261)
Y (0.500, 0.604, 0.787)
Pr (0.000, 0.707, 0.000)
Pr (0.500, 0.000, 0.000)
Pr (0.000, 0.293, 0.000)
La (0.498, 0.242, 0.484)
La (0.502, 0.758, 0.516)

Version x
Compound: La2Pr3Y8
Source: Alexandria
Functional: PBE
Structure: relaxed

Crystal system: monoclinic
Calculated volume (Å³ per cell): 443.9
Magnetic moment (Bohr magnetons per cell): 0.00
Mass density (Mg/m³): 5.28

Cell lengths 9.448, 10.657, 10.657 Å; angles 42.00, 42.80, 42.79 degrees
Sites, in units of the cell vectors:
Y (0.562, 0.164, 0.587)
Y (0.996, 0.852, 0.852)
Y (0.438, 0.413, 0.836)
Y (0.937, 0.355, 0.355)
Y (0.562, 0.587, 0.164)
Y (0.438, 0.836, 0.413)
Y (0.063, 0.645, 0.645)
Y (0.004, 0.148, 0.148)
Pr (0.000, 0.267, 0.733)
Pr (0.000, 0.733, 0.267)
Pr (0.500, 0.000, 0.000)
La (0.494, 0.244, 0.244)
La (0.506, 0.756, 0.756)

Tell me which of them is the most stable. Sure, it is version x.

Version w
Compound: La2Pr3Y
Source: Alexandria
Functional: PBE
Structure: relaxed

Crystal system: monoclinic
Calculated volume (Å³ per cell): 429.7
Magnetic moment (Bohr magnetons per cell): 0.00
Mass density (Mg/m³): 6.10

Cell lengths 6.883, 9.300, 6.883 Å; angles 82.22, 84.72, 97.78 degrees
Sites, in units of the cell vectors:
La (0.121, 0.376, 0.372)
La (0.628, 0.876, 0.879)
La (0.372, 0.124, 0.121)
La (0.879, 0.624, 0.628)
Pr (0.337, 0.500, 0.831)
Pr (0.663, 0.500, 0.169)
Pr (0.584, 0.250, 0.584)
Pr (0.416, 0.750, 0.416)
Pr (0.169, 0.000, 0.663)
Pr (0.831, 0.000, 0.337)
Y (0.917, 0.250, 0.917)
Y (0.083, 0.750, 0.083)

Version x
Compound: La2Pr3Y
Source: Alexandria
Functional: PBE
Structure: relaxed

Crystal system: orthorhombic
Calculated volume (Å³ per cell): 431.4
Magnetic moment (Bohr magnetons per cell): 0.00
Mass density (Mg/m³): 6.08

Cell lengths 3.470, 6.986, 17.795 Å; angles 90.00, 90.00, 90.00 degrees
Sites, in units of the cell vectors:
Pr (0.500, 0.244, 0.170)
Pr (0.000, 0.000, 0.000)
Pr (0.500, 0.756, 0.830)
Pr (0.000, 0.744, 0.330)
Pr (0.500, 0.500, 0.500)
Pr (0.000, 0.256, 0.670)
La (0.500, 0.243, 0.839)
La (0.500, 0.757, 0.161)
La (0.000, 0.257, 0.339)
La (0.000, 0.743, 0.661)
Y (0.500, 0.500, 0.000)
Y (0.000, 0.000, 0.500)

Tell me which of them is the most stable. Sure, it is version w.

Version w
Compound: La5Pr2Y2
Source: Alexandria
Functional: PBE
Structure: relaxed

Crystal system: triclinic
Calculated volume (Å³ per cell): 322.0
Magnetic moment (Bohr magnetons per cell): 0.00
Mass density (Mg/m³): 5.95

Cell lengths 6.428, 3.705, 16.865 Å; angles 96.39, 93.58, 125.25 degrees
Sites, in units of the cell vectors:
Pr (0.334, 0.669, 0.669)
Pr (0.666, 0.331, 0.331)
La (0.221, 0.443, 0.443)
La (0.445, 0.890, 0.889)
La (0.555, 0.110, 0.111)
La (0.000, 0.000, 0.000)
La (0.779, 0.557, 0.557)
Y (0.888, 0.777, 0.777)
Y (0.112, 0.223, 0.223)

Version x
Compound: La5Pr2Y2
Source: Alexandria
Functional: PBE
Structure: relaxed

Crystal system: orthorhombic
Calculated volume (Å³ per cell): 635.5
Magnetic moment (Bohr magnetons per cell): 0.00
Mass density (Mg/m³): 6.03

Cell lengths 11.982, 7.031, 10.254 Å; angles 110.05, 125.75, 90.00 degrees
Sites, in units of the cell vectors:
Y (0.867, 0.418, 0.746)
Y (0.378, 0.918, 0.746)
Y (0.133, 0.672, 0.254)
Y (0.622, 0.172, 0.254)
Pr (0.745, 0.844, 0.500)
Pr (0.255, 0.344, 0.500)
Pr (0.500, 0.563, 0.000)
Pr (0.000, 0.063, 0.000)
La (0.814, 0.771, 0.104)
La (0.790, 0.271, 0.104)
La (0.998, 0.644, 0.500)
La (0.210, 0.167, 0.896)
La (0.416, 0.522, 0.287)
La (0.629, 0.735, 0.713)
La (0.584, 0.235, 0.713)
La (0.002, 0.144, 0.500)
La (0.371, 0.022, 0.287)
La (0.186, 0.667, 0.896)

Tell me which of them is the most stable. Sure, it is version w.

Version w
Compound: La3Pr2Y4
Source: Alexandria
Functional: PBE
Structure: relaxed

Crystal system: monoclinic
Calculated volume (Å³ per cell): 622.4
Magnetic moment (Bohr magnetons per cell): 0.00
Mass density (Mg/m³): 5.63

Cell lengths 6.249, 11.451, 11.451 Å; angles 63.23, 63.40, 63.40 degrees
Sites, in units of the cell vectors:
La (0.250, 0.621, 0.379)
La (0.266, 0.305, 0.021)
La (0.750, 0.379, 0.621)
La (0.766, 0.021, 0.305)
La (0.234, 0.979, 0.695)
La (0.734, 0.695, 0.979)
Y (0.923, 0.173, 0.941)
Y (0.094, 0.156, 0.388)
Y (0.594, 0.388, 0.156)
Y (0.423, 0.941, 0.173)
Y (0.406, 0.612, 0.844)
Y (0.906, 0.844, 0.612)
Y (0.077, 0.827, 0.059)
Y (0.577, 0.059, 0.827)
Pr (0.932, 0.521, 0.252)
Pr (0.068, 0.479, 0.748)
Pr (0.432, 0.252, 0.521)
Pr (0.568, 0.748, 0.479)

Version x
Compound: La3Pr2Y4
Source: Alexandria
Functional: PBE
Structure: relaxed

Crystal system: orthorhombic
Calculated volume (Å³ per cell): 315.0
Magnetic moment (Bohr magnetons per cell): 0.00
Mass density (Mg/m³): 5.56

Cell lengths 3.536, 9.994, 10.370 Å; angles 118.81, 99.82, 90.00 degrees
Sites, in units of the cell vectors:
Y (0.168, 0.493, 0.337)
Y (0.832, 0.156, 0.663)
Y (0.832, 0.507, 0.663)
Y (0.168, 0.844, 0.337)
Pr (0.000, 0.830, 0.000)
Pr (0.000, 0.170, 0.000)
La (0.659, 0.159, 0.319)
La (0.500, 0.500, 0.000)
La (0.341, 0.841, 0.681)

Tell me which of them is the most stable. Sure, it is version w.

Version w
Compound: La3Pr7Y
Source: Alexandria
Functional: PBE
Structure: relaxed

Crystal system: monoclinic
Calculated volume (Å³ per cell): 410.4
Magnetic moment (Bohr magnetons per cell): 0.00
Mass density (Mg/m³): 6.04

Cell lengths 6.613, 7.929, 7.929 Å; angles 82.01, 86.58, 86.58 degrees
Sites, in units of the cell vectors:
Pr (0.262, 0.430, 0.085)
Pr (0.262, 0.085, 0.430)
Pr (0.000, 0.500, 0.500)
Pr (0.738, 0.915, 0.570)
Pr (0.214, 0.762, 0.762)
Pr (0.738, 0.570, 0.915)
Pr (0.786, 0.238, 0.238)
La (0.000, 0.826, 0.174)
La (0.500, 0.000, 0.000)
La (0.000, 0.174, 0.826)
Y (0.500, 0.500, 0.500)

Version x
Compound: La3Pr7Y
Source: Alexandria
Functional: PBE
Structure: relaxed

Crystal system: monoclinic
Calculated volume (Å³ per cell): 407.4
Magnetic moment (Bohr magnetons per cell): 0.00
Mass density (Mg/m³): 6.08

Cell lengths 6.062, 8.738, 8.738 Å; angles 82.44, 110.25, 110.25 degrees
Sites, in units of the cell vectors:
Y (0.500, 0.500, 0.500)
Pr (0.301, 0.006, 0.597)
Pr (0.209, 0.209, 0.209)
Pr (0.000, 0.500, 0.500)
Pr (0.699, 0.403, 0.994)
Pr (0.699, 0.994, 0.403)
Pr (0.791, 0.791, 0.791)
Pr (0.301, 0.597, 0.006)
La (0.000, 0.788, 0.212)
La (0.500, 0.000, 0.000)
La (0.000, 0.212, 0.788)

Tell me which of them is the most stable. Sure, it is version w.

Version w
Compound: La8Pr6Y
Source: Alexandria
Functional: PBE
Structure: relaxed

Crystal system: trigonal
Calculated volume (Å³ per cell): 548.7
Magnetic moment (Bohr magnetons per cell): 0.00
Mass density (Mg/m³): 6.19

Cell lengths 9.611, 9.611, 8.823 Å; angles 57.00, 57.00, 60.00 degrees
Sites, in units of the cell vectors:
La (0.574, 0.574, 0.278)
La (0.914, 0.336, 0.517)
La (0.233, 0.914, 0.517)
La (0.664, 0.767, 0.483)
La (0.767, 0.086, 0.483)
La (0.336, 0.233, 0.517)
La (0.086, 0.664, 0.483)
La (0.426, 0.426, 0.722)
Pr (0.105, 0.262, 0.072)
Pr (0.738, 0.440, 0.928)
Pr (0.895, 0.738, 0.928)
Pr (0.262, 0.560, 0.072)
Pr (0.440, 0.895, 0.928)
Pr (0.560, 0.105, 0.072)
Y (0.000, 0.000, 0.000)

Version x
Compound: La8Pr6Y
Source: Alexandria
Functional: PBE
Structure: relaxed

Crystal system: trigonal
Calculated volume (Å³ per cell): 543.6
Magnetic moment (Bohr magnetons per cell): 0.00
Mass density (Mg/m³): 6.25

Cell lengths 10.021, 10.021, 8.518 Å; angles 53.97, 53.97, 60.00 degrees
Sites, in units of the cell vectors:
Pr (0.429, 0.620, 0.781)
Pr (0.380, 0.829, 0.219)
Pr (0.829, 0.571, 0.219)
Pr (0.620, 0.171, 0.781)
Pr (0.171, 0.429, 0.781)
Pr (0.571, 0.380, 0.219)
La (0.379, 0.052, 0.705)
La (0.864, 0.379, 0.705)
La (0.234, 0.234, 0.299)
La (0.766, 0.766, 0.701)
La (0.136, 0.621, 0.295)
La (0.621, 0.948, 0.295)
La (0.052, 0.864, 0.705)
La (0.948, 0.136, 0.295)
Y (0.000, 0.000, 0.000)

Tell me which of them is the most stable. Sure, it is version x.

Version w
Compound: La3Pr4Y5
Source: Alexandria
Functional: PBE
Structure: relaxed

Crystal system: triclinic
Calculated volume (Å³ per cell): 417.1
Magnetic moment (Bohr magnetons per cell): 0.00
Mass density (Mg/m³): 5.67

Cell lengths 7.317, 11.582, 13.204 Å; angles 151.29, 56.43, 129.11 degrees
Sites, in units of the cell vectors:
Pr (0.168, 0.338, 0.169)
Pr (0.083, 0.163, 0.331)
Pr (0.832, 0.662, 0.831)
Pr (0.917, 0.837, 0.669)
La (0.000, 0.000, 0.500)
La (0.419, 0.837, 0.668)
La (0.581, 0.163, 0.332)
Y (0.751, 0.502, 0.002)
Y (0.669, 0.335, 0.166)
Y (0.331, 0.665, 0.834)
Y (0.500, 0.000, 0.500)
Y (0.249, 0.498, 0.998)

Version x
Compound: La3Pr4Y5
Source: Alexandria
Functional: PBE
Structure: relaxed

Crystal system: monoclinic
Calculated volume (Å³ per cell): 426.0
Magnetic moment (Bohr magnetons per cell): 0.17
Mass density (Mg/m³): 5.55

Cell lengths 6.087, 8.756, 9.882 Å; angles 105.62, 72.06, 69.66 degrees
Sites, in units of the cell vectors:
Pr (0.828, 0.963, 0.380)
Pr (0.139, 0.777, 0.945)
Pr (0.861, 0.223, 0.055)
Pr (0.172, 0.037, 0.620)
La (0.480, 0.311, 0.729)
La (0.520, 0.689, 0.271)
La (0.000, 0.500, 0.500)
Y (0.627, 0.944, 0.801)
Y (0.218, 0.453, 0.110)
Y (0.500, 0.500, 0.500)
Y (0.782, 0.547, 0.890)
Y (0.373, 0.056, 0.199)

Tell me which of them is the most stable. Sure, it is version w.